Entry from the Alexandria database: a relaxed Sr5InTe6 crystal (GGA-PBE).

a b c (Å): 8.1782 8.1830 8.1835
angles (deg): 60.00 80.39 70.50
Fractional positions:
Sr (0.5000, 0.1667, 0.6667)
Sr (0.0000, 0.3333, 0.3333)
Sr (0.5000, 0.5000, 0.0000)
Sr (0.0000, 0.6667, 0.6667)
Sr (0.5000, 0.8333, 0.3333)
In (0.0000, 0.0000, 0.0000)
Te (0.7538, 0.0826, 0.3260)
Te (0.2462, 0.5914, 0.3260)
Te (0.2452, 0.2446, 0.0000)
Te (0.7548, 0.7554, 0.0000)
Te (0.7538, 0.4086, 0.6740)
Te (0.2462, 0.9174, 0.6740)

M_tot ... 0.00 μB/f.u.
ΔE_f (raw) ... -1446.7 meV per atom
Total DFT energy (no corrections) ... -3.95 eV per atom
Calculated density ... 4.9 Mg/m³
Space group ... C2/m (12)